KCaCr2I: optimized geometry, PBE-GGA.

abc: 5.753 8.444 5.753
angles: 90.00 90.00 90.00
Site moments in Bohr magnetons follow the coordinates.
Positions (direct):
I (0.500, 0.500, 0.500)  0.01
Cr (0.000, 0.000, 0.500)  4.15
Cr (0.500, 0.000, 0.000)  4.24
Ca (0.000, 0.000, 0.000)  0.15
K (0.000, 0.500, 0.000)  0.00

Values from the calculation:
Formation energy without anion corrections, eV/f.u.: 5.27
ρ, g/cm³: 1.84
VASP energy, eV/atom: -3.725
Total magnetization, μB per formula unit: 10.34



La2Pr6Nd3Cd: optimized geometry, PBE-GGA.

abc: 6.340 6.340 12.134
angles: 95.09 95.09 120.06
Positions (direct):
La (0.332, 0.668, 0.000)
La (0.668, 0.332, 0.000)
Pr (0.919, 0.592, 0.752)
Pr (0.755, 0.755, 0.249)
Pr (0.081, 0.408, 0.248)
Pr (0.592, 0.919, 0.752)
Pr (0.245, 0.245, 0.751)
Pr (0.408, 0.081, 0.248)
Nd (0.168, 0.832, 0.500)
Nd (0.832, 0.168, 0.500)
Nd (0.500, 0.500, 0.500)
Cd (0.000, 0.000, 0.000)

Values from the calculation:
ρ, g/cm³: 6.67
Formation energy, eV/atom: -0.018
VASP energy, eV/atom: -4.497
Total magnetization, μB per formula unit: 0.00



AgHg2Au: optimized geometry, PBE-GGA.

abc: 5.948 5.948 4.908
angles: 76.83 76.83 29.99
Positions (direct):
Au (0.222, 0.222, 0.214)
Hg (0.978, 0.978, 0.059)
Hg (0.775, 0.775, 0.688)
Ag (0.524, 0.524, 0.540)

Values from the calculation:
ρ, g/cm³: 13.90
Formation energy, eV/atom: 0.072
VASP energy, eV/atom: -1.611
Total magnetization, μB per formula unit: 0.00